Entry 1:
{"formula": "HgSb2P", "functional": "PBE-GGA", "state": "relaxed", "energy_ev_per_cell": -12.9, "sg": "Imm2 (44)", "e_above_lowest_polymorph_mev_per_atom": 116, "magmom_total_mub_per_fu": 0.00, "lattice": [[-1.856, 2.165, 6.407], [1.856, -2.165, 6.407], [1.856, 2.165, -6.407]], "species": ["Hg", "Sb", "Sb", "P"], "frac_coords": [[0.550, 0.550, 0.000], [0.934, 0.934, 0.000], [0.239, 0.739, 0.500], [0.777, 0.277, 0.500]]}

Entry 2:
{"formula": "HgSb2P2", "functional": "PBE-GGA", "state": "relaxed", "energy_ev_per_cell": -18.0, "sg": "I4/mmm (139)", "e_above_lowest_polymorph_mev_per_atom": 30, "magmom_total_mub_per_fu": 0.00, "lattice": [[-4.657, 0.766, 2.565], [-2.505, -3.062, -3.634], [-2.854, -4.495, 1.785]], "species": ["Sb", "Sb", "Hg", "P", "P"], "frac_coords": [[0.750, 0.250, 0.500], [0.250, 0.750, 0.500], [0.000, 0.000, 0.000], [0.365, 0.365, 0.271], [0.635, 0.635, 0.729]]}

Entry 3:
{"formula": "HgSbP2", "functional": "PBE-GGA", "state": "relaxed", "energy_ev_per_cell": -28.0, "sg": "I-42d (122)", "e_above_lowest_polymorph_mev_per_atom": 163, "magmom_total_mub_per_fu": 0.00, "lattice": [[5.996, 0.000, 0.000], [0.000, 5.996, 0.000], [2.998, 2.998, 6.206]], "species": ["Sb", "Sb", "Hg", "Hg", "P", "P", "P", "P"], "frac_coords": [[0.500, 0.500, 0.000], [0.250, 0.750, 0.500], [0.000, 0.000, 0.000], [0.750, 0.250, 0.500], [0.625, 0.125, 0.250], [0.125, 0.625, 0.250], [0.375, 0.375, 0.750], [0.875, 0.875, 0.750]]}

Entry 4:
{"formula": "HgSb2P", "functional": "PBE-GGA", "state": "relaxed", "energy_ev_per_cell": -12.2, "sg": "F-43m (216)", "e_above_lowest_polymorph_mev_per_atom": 285, "magmom_total_mub_per_fu": 0.00, "lattice": [[0.000, 3.626, 3.626], [3.626, 0.000, 3.626], [3.626, 3.626, 0.000]], "species": ["Hg", "Sb", "Sb", "P"], "frac_coords": [[0.500, 0.500, 0.500], [0.000, 0.000, 0.000], [0.750, 0.750, 0.750], [0.250, 0.250, 0.250]]}

Entry 5:
{"formula": "HgSbP2", "functional": "PBE-GGA", "state": "relaxed", "energy_ev_per_cell": -13.9, "sg": "Pm (6)", "e_above_lowest_polymorph_mev_per_atom": 187, "magmom_total_mub_per_fu": 0.00, "lattice": [[4.632, 0.000, 0.000], [0.000, 4.121, -0.078], [0.000, 1.215, 4.704]], "species": ["Hg", "P", "P", "Sb"], "frac_coords": [[0.500, 0.750, 0.758], [0.000, 0.059, 0.083], [0.500, 0.214, 0.220], [0.000, 0.477, 0.439]]}

Entry 6:
{"formula": "HgSb2P2", "functional": "PBE-GGA", "state": "relaxed", "energy_ev_per_cell": -35.2, "sg": "P4/mbm (127)", "e_above_lowest_polymorph_mev_per_atom": 120, "magmom_total_mub_per_fu": 0.00, "lattice": [[-0.681, 6.854, 4.115], [0.428, -4.092, 6.888], [3.698, 0.373, -0.008]], "species": ["Sb", "Sb", "Sb", "Sb", "Hg", "Hg", "P", "P", "P", "P"], "frac_coords": [[0.155, 0.655, 0.500], [0.655, 0.845, 0.500], [0.845, 0.345, 0.500], [0.345, 0.155, 0.500], [0.000, 0.000, 0.000], [0.500, 0.500, 0.000], [0.314, 0.814, 0.000], [0.814, 0.686, 0.000], [0.686, 0.186, 0.000], [0.186, 0.314, 0.000]]}

Entry 7:
{"formula": "HgSb2P", "functional": "PBE-GGA", "state": "relaxed", "energy_ev_per_cell": -12.4, "sg": "Cmm2 (35)", "e_above_lowest_polymorph_mev_per_atom": 230, "magmom_total_mub_per_fu": 0.00, "lattice": [[1.825, -2.756, 0.000], [1.825, 2.756, 0.000], [0.000, 0.000, 9.813]], "species": ["Hg", "Sb", "Sb", "P"], "frac_coords": [[0.000, 0.000, 0.477], [0.000, 0.000, 0.040], [0.500, 0.500, 0.747], [0.500, 0.500, 0.235]]}

Entry 8:
{"formula": "Hg2Sb2P", "functional": "PBE-GGA", "state": "relaxed", "energy_ev_per_cell": -11.2, "sg": "I4/mmm (139)", "e_above_lowest_polymorph_mev_per_atom": 282, "magmom_total_mub_per_fu": 0.00, "lattice": [[4.104, 0.000, 0.000], [0.000, 4.104, 0.000], [2.052, 2.052, 8.150]], "species": ["Sb", "Sb", "Hg", "Hg", "P"], "frac_coords": [[0.750, 0.250, 0.500], [0.250, 0.750, 0.500], [0.413, 0.413, 0.173], [0.587, 0.587, 0.827], [0.000, 0.000, 0.000]]}

Entry 9:
{"formula": "HgSb3P", "functional": "PBE-GGA", "state": "relaxed", "energy_ev_per_cell": -15.4, "sg": "Pm-3m (221)", "e_above_lowest_polymorph_mev_per_atom": 0, "magmom_total_mub_per_fu": 0.00, "lattice": [[-0.464, 3.008, 4.302], [1.228, -4.137, 3.025], [5.104, 1.269, -0.337]], "species": ["Sb", "Sb", "Sb", "Hg", "P"], "frac_coords": [[0.000, 0.500, 0.000], [0.000, 0.000, 0.500], [0.500, 0.000, 0.000], [0.500, 0.500, 0.500], [0.000, 0.000, 0.000]]}

Entry 10:
{"formula": "HgSbP2", "functional": "PBE-GGA", "state": "relaxed", "energy_ev_per_cell": -13.7, "sg": "I4/mmm (139)", "e_above_lowest_polymorph_mev_per_atom": 232, "magmom_total_mub_per_fu": 0.00, "lattice": [[-0.300, 0.715, -4.745], [4.255, -2.015, 0.977], [0.394, -4.195, -2.316]], "species": ["Hg", "P", "P", "Sb"], "frac_coords": [[0.000, 0.500, 0.500], [0.000, 0.000, 0.000], [0.500, 0.500, 0.000], [0.500, 0.000, 0.500]]}

Entry 11:
{"formula": "HgSbP2", "functional": "PBE-GGA", "state": "relaxed", "energy_ev_per_cell": -12.8, "sg": "I-4m2 (119)", "e_above_lowest_polymorph_mev_per_atom": 460, "magmom_total_mub_per_fu": 0.00, "lattice": [[-5.733, 1.563, -2.435], [-1.819, 0.553, -6.134], [3.067, -3.704, 4.257]], "species": ["Hg", "P", "P", "Sb"], "frac_coords": [[0.750, 0.250, 0.500], [0.000, 0.000, 0.000], [0.250, 0.750, 0.500], [0.500, 0.500, 0.000]]}

Entry 12:
{"formula": "HgSb2P", "functional": "PBE-GGA", "state": "relaxed", "energy_ev_per_cell": -12.9, "sg": "P4/mmm (123)", "e_above_lowest_polymorph_mev_per_atom": 95, "magmom_total_mub_per_fu": 0.00, "lattice": [[5.784, 0.000, 0.000], [0.000, 5.784, 0.000], [0.000, 0.000, 3.064]], "species": ["Hg", "Sb", "Sb", "P"], "frac_coords": [[0.500, 0.500, 0.000], [0.500, 0.000, 0.000], [0.000, 0.500, 0.000], [0.000, 0.000, 0.000]]}

Entry 13:
{"formula": "HgSb2P2", "functional": "PBE-GGA", "state": "relaxed", "energy_ev_per_cell": -18.2, "sg": "I4/mmm (139)", "e_above_lowest_polymorph_mev_per_atom": 0, "magmom_total_mub_per_fu": 0.00, "lattice": [[4.718, 0.000, 0.000], [0.000, 4.718, 0.000], [2.359, 2.359, 6.643]], "species": ["Sb", "Sb", "Hg", "P", "P"], "frac_coords": [[0.345, 0.345, 0.309], [0.655, 0.655, 0.691], [0.000, 0.000, 0.000], [0.750, 0.250, 0.500], [0.250, 0.750, 0.500]]}

Entry 14:
{"formula": "HgSbP2", "functional": "PBE-GGA", "state": "relaxed", "energy_ev_per_cell": -13.6, "sg": "Cmm2 (35)", "e_above_lowest_polymorph_mev_per_atom": 268, "magmom_total_mub_per_fu": 0.00, "lattice": [[-0.829, 2.035, 2.284], [1.405, -2.737, 0.764], [10.676, 5.255, -0.808]], "species": ["Hg", "P", "P", "Sb"], "frac_coords": [[0.500, 0.500, 0.763], [0.000, 0.000, 0.056], [0.500, 0.500, 0.180], [0.000, 0.000, 0.501]]}

Entry 15:
{"formula": "HgSb2P", "functional": "PBE-GGA", "state": "relaxed", "energy_ev_per_cell": -12.6, "sg": "Immm (71)", "e_above_lowest_polymorph_mev_per_atom": 187, "magmom_total_mub_per_fu": 0.00, "lattice": [[-1.813, 2.937, 4.675], [1.813, -2.937, 4.675], [1.813, 2.937, -4.675]], "species": ["Hg", "Sb", "Sb", "P"], "frac_coords": [[0.000, 0.500, 0.500], [0.713, 0.713, 0.000], [0.287, 0.287, 0.000], [0.500, 0.000, 0.500]]}

Entry 16:
{"formula": "HgSbP2", "functional": "PBE-GGA", "state": "relaxed", "energy_ev_per_cell": -12.9, "sg": "Cmmm (65)", "e_above_lowest_polymorph_mev_per_atom": 448, "magmom_total_mub_per_fu": 0.00, "lattice": [[-0.357, 3.443, -0.710], [-0.218, -1.997, -2.907], [-7.429, -0.573, 0.950]], "species": ["Hg", "P", "P", "Sb"], "frac_coords": [[0.500, 0.500, 0.750], [0.000, 0.000, 0.002], [0.000, 0.000, 0.498], [0.500, 0.500, 0.250]]}

Entry 17:
{"formula": "HgSbP2", "functional": "PBE-GGA", "state": "relaxed", "energy_ev_per_cell": -14.1, "sg": "Imm2 (44)", "e_above_lowest_polymorph_mev_per_atom": 143, "magmom_total_mub_per_fu": 0.00, "lattice": [[-7.405, 1.349, 0.261], [-6.072, -1.996, 3.983], [6.981, 2.644, -0.998]], "species": ["Hg", "P", "P", "Sb"], "frac_coords": [[0.796, 0.296, 0.500], [0.074, 0.074, 0.000], [0.180, 0.680, 0.500], [0.450, 0.450, 0.000]]}

Entry 18:
{"formula": "Hg2Sb2P", "functional": "PBE-GGA", "state": "relaxed", "energy_ev_per_cell": -23.4, "sg": "P4/mbm (127)", "e_above_lowest_polymorph_mev_per_atom": 183, "magmom_total_mub_per_fu": 0.00, "lattice": [[7.529, 0.000, 0.000], [0.000, 7.529, 0.000], [0.000, 0.000, 4.577]], "species": ["Sb", "Sb", "Sb", "Sb", "Hg", "Hg", "Hg", "Hg", "P", "P"], "frac_coords": [[0.135, 0.635, 0.500], [0.635, 0.865, 0.500], [0.865, 0.365, 0.500], [0.365, 0.135, 0.500], [0.334, 0.834, 0.000], [0.834, 0.666, 0.000], [0.666, 0.166, 0.000], [0.166, 0.334, 0.000], [0.000, 0.000, 0.000], [0.500, 0.500, 0.000]]}

Entry 19:
{"formula": "HgSbP2", "functional": "PBE-GGA", "state": "relaxed", "energy_ev_per_cell": -14.7, "sg": "Cm (8)", "e_above_lowest_polymorph_mev_per_atom": 0, "magmom_total_mub_per_fu": 0.00, "lattice": [[-0.509, 3.588, 4.922], [-3.556, 2.794, 4.112], [0.418, -4.685, 3.020]], "species": ["Hg", "P", "P", "Sb"], "frac_coords": [[0.661, 0.661, 0.856], [0.882, 0.882, 0.009], [0.369, 0.369, 0.273], [0.588, 0.588, 0.362]]}

Entry 20:
{"formula": "HgSb2P", "functional": "PBE-GGA", "state": "relaxed", "energy_ev_per_cell": -12.9, "sg": "P4mm (99)", "e_above_lowest_polymorph_mev_per_atom": 103, "magmom_total_mub_per_fu": 0.00, "lattice": [[-2.310, 2.422, -1.968], [-3.037, -1.182, 2.110], [1.409, 5.492, 5.105]], "species": ["Hg", "Sb", "Sb", "P"], "frac_coords": [[0.000, 0.000, 0.499], [0.000, 0.000, 0.943], [0.500, 0.500, 0.196], [0.500, 0.500, 0.862]]}

Entry 21:
{"formula": "HgSb3P", "functional": "PBE-GGA", "state": "relaxed", "energy_ev_per_cell": -11.9, "sg": "Pm-3m (221)", "e_above_lowest_polymorph_mev_per_atom": 686, "magmom_total_mub_per_fu": 0.00, "lattice": [[5.490, 0.000, 0.000], [0.000, 5.490, 0.000], [0.000, 0.000, 5.490]], "species": ["Sb", "Sb", "Sb", "Hg", "P"], "frac_coords": [[0.000, 0.500, 0.000], [0.000, 0.000, 0.500], [0.500, 0.000, 0.000], [0.000, 0.000, 0.000], [0.500, 0.500, 0.500]]}

Entry 22:
{"formula": "HgSb2P", "functional": "PBE-GGA", "state": "relaxed", "energy_ev_per_cell": -12.3, "sg": "Fm-3m (225)", "e_above_lowest_polymorph_mev_per_atom": 265, "magmom_total_mub_per_fu": 0.00, "lattice": [[0.000, 3.602, 3.602], [3.602, 0.000, 3.602], [3.602, 3.602, 0.000]], "species": ["Sb", "Sb", "Hg", "P"], "frac_coords": [[0.250, 0.250, 0.250], [0.750, 0.750, 0.750], [0.500, 0.500, 0.500], [0.000, 0.000, 0.000]]}

Entry 23:
{"formula": "HgSb2P", "functional": "PBE-GGA", "state": "relaxed", "energy_ev_per_cell": -13.2, "sg": "R3m (160)", "e_above_lowest_polymorph_mev_per_atom": 30, "magmom_total_mub_per_fu": 0.00, "lattice": [[-0.250, -0.111, 3.840], [2.410, -2.219, 2.022], [5.753, 5.145, 2.454]], "species": ["Hg", "Sb", "Sb", "P"], "frac_coords": [[0.499, 0.499, 0.503], [0.072, 0.072, 0.785], [0.260, 0.260, 0.219], [0.669, 0.669, 0.993]]}

Entry 24:
{"formula": "HgSbP2", "functional": "PBE-GGA", "state": "relaxed", "energy_ev_per_cell": -14.3, "sg": "C2/m (12)", "e_above_lowest_polymorph_mev_per_atom": 94, "magmom_total_mub_per_fu": 0.00, "lattice": [[3.890, -0.006, 0.008], [1.953, 3.364, 0.008], [1.965, 1.129, 6.523]], "species": ["Hg", "P", "P", "Sb"], "frac_coords": [[0.750, 0.750, 0.750], [0.998, 0.998, 0.009], [0.502, 0.502, 0.491], [0.250, 0.250, 0.250]]}

Entry 25:
{"formula": "Hg12Sb5P3", "functional": "PBE-GGA", "state": "relaxed", "energy_ev_per_cell": -140.8, "sg": "Ia-3d (230)", "magmom_total_mub_per_fu": 0.00, "lattice": [[-4.780, 11.672, 6.960], [-10.604, -5.444, -8.090], [4.293, -9.875, 9.569]], "species": ["P", "P", "P", "P", "P", "P", "P", "P", "P", "P", "P", "P", "Sb", "Sb", "Sb", "Sb", "Sb", "Sb", "Sb", "Sb", "Sb", "Sb", "Sb", "Sb", "Sb", "Sb", "Sb", "Sb", "Sb", "Sb", "Sb", "Sb", "Hg", "Hg", "Hg", "Hg", "Hg", "Hg", "Hg", "Hg", "Hg", "Hg", "Hg", "Hg", "Hg", "Hg", "Hg", "Hg", "Hg", "Hg", "Hg", "Hg", "Hg", "Hg", "Hg", "Hg", "Hg", "Hg", "Hg", "Hg", "Hg", "Hg", "Hg", "Hg", "Hg", "Hg", "Hg", "Hg", "Hg", "Hg", "Hg", "Hg", "Hg", "Hg", "Hg", "Hg", "Hg", "Hg", "Hg", "Hg"], "frac_coords": [[0.750, 0.375, 0.125], [0.875, 0.750, 0.125], [0.375, 0.750, 0.625], [0.250, 0.125, 0.375], [0.875, 0.125, 0.250], [0.375, 0.625, 0.250], [0.625, 0.375, 0.750], [0.125, 0.875, 0.750], [0.750, 0.875, 0.625], [0.625, 0.250, 0.375], [0.125, 0.250, 0.875], [0.250, 0.625, 0.875], [0.125, 0.375, 0.250], [0.000, 0.500, 0.000], [0.000, 0.000, 0.000], [0.375, 0.250, 0.125], [0.500, 0.000, 0.500], [0.500, 0.500, 0.000], [0.125, 0.750, 0.375], [0.750, 0.125, 0.875], [0.750, 0.625, 0.375], [0.375, 0.125, 0.750], [0.625, 0.875, 0.250], [0.500, 0.500, 0.500], [0.500, 0.000, 0.000], [0.000, 0.000, 0.500], [0.250, 0.375, 0.625], [0.250, 0.875, 0.125], [0.000, 0.500, 0.500], [0.875, 0.250, 0.625], [0.625, 0.750, 0.875], [0.875, 0.625, 0.750], [0.744, 0.126, 0.067], [0.323, 0.567, 0.441], [0.933, 0.374, 0.256], [0.567, 0.244, 0.126], [0.618, 0.744, 0.677], [0.933, 0.559, 0.177], [0.323, 0.756, 0.382], [0.059, 0.882, 0.126], [0.559, 0.933, 0.677], [0.744, 0.618, 0.177], [0.756, 0.433, 0.374], [0.823, 0.941, 0.067], [0.126, 0.744, 0.567], [0.374, 0.441, 0.118], [0.118, 0.941, 0.374], [0.382, 0.126, 0.559], [0.118, 0.177, 0.244], [0.433, 0.677, 0.059], [0.823, 0.882, 0.256], [0.126, 0.382, 0.059], [0.374, 0.933, 0.756], [0.559, 0.626, 0.382], [0.941, 0.823, 0.567], [0.756, 0.323, 0.882], [0.441, 0.374, 0.618], [0.059, 0.177, 0.433], [0.244, 0.677, 0.118], [0.177, 0.118, 0.744], [0.626, 0.067, 0.244], [0.874, 0.618, 0.941], [0.567, 0.323, 0.941], [0.618, 0.874, 0.441], [0.882, 0.823, 0.756], [0.882, 0.059, 0.626], [0.874, 0.256, 0.433], [0.177, 0.059, 0.933], [0.626, 0.559, 0.882], [0.441, 0.067, 0.323], [0.256, 0.382, 0.823], [0.244, 0.567, 0.626], [0.941, 0.118, 0.874], [0.677, 0.244, 0.618], [0.433, 0.756, 0.874], [0.067, 0.441, 0.823], [0.382, 0.256, 0.323], [0.067, 0.626, 0.744], [0.677, 0.433, 0.559], [0.256, 0.874, 0.933]]}

| no. | E_form (uncorrected) (eV per atom) |
| --- | --- |
| 1 | 0.274 |
| 2 | 0.269 |
| 3 | 0.308 |
| 4 | 0.442 |
| 5 | 0.332 |
| 6 | 0.358 |
| 7 | 0.388 |
| 8 | 0.611 |
| 9 | 0.543 |
| 10 | 0.377 |
| 11 | 0.605 |
| 12 | 0.253 |
| 13 | 0.238 |
| 14 | 0.413 |
| 15 | 0.344 |
| 16 | 0.593 |
| 17 | 0.288 |
| 18 | 0.513 |
| 19 | 0.145 |
| 20 | 0.261 |
| 21 | 1.230 |
| 22 | 0.423 |
| 23 | 0.188 |
| 24 | 0.239 |
| 25 | 0.263 |